Record 1
DFT (PBE-GGA) results for crystalline BaSiAu3 at its relaxed geometry.

The structure in CIF format:
```
data_BaSiAu3
_cell_length_a 6.665
_cell_length_b 5.277
_cell_length_c 9.427
_cell_angle_alpha 90.00
_cell_angle_beta 134.99
_cell_angle_gamma 90.00
_symmetry_space_group_name_H-M 'P 1 c 1'
_symmetry_Int_Tables_number 7
_symmetry_space_group_name_Hall 'P -2yc'
loop_
_atom_site_label
_atom_site_type_symbol
_atom_site_fract_x
_atom_site_fract_y
_atom_site_fract_z
Ba1 Ba 0.000 0.000 0.000
Si1 Si 0.498 0.314 0.498
Au1 Au 0.499 0.152 0.998
Au2 Au 0.502 0.499 0.250
Au3 Au 0.999 0.500 0.251
```

---

Record 2
DFT (PBE-GGA) results for crystalline BaSi2Au4 at its relaxed geometry.

The structure in CIF format:
```
data_BaSi2Au4
_cell_length_a 4.586
_cell_length_b 13.648
_cell_length_c 4.675
_cell_angle_alpha 90.00
_cell_angle_beta 90.00
_cell_angle_gamma 90.00
_symmetry_space_group_name_H-M 'C m m m'
_symmetry_Int_Tables_number 65
_symmetry_space_group_name_Hall '-C 2 2'
loop_
_atom_site_label
_atom_site_type_symbol
_atom_site_fract_x
_atom_site_fract_y
_atom_site_fract_z
Ba1 Ba 0.000 0.000 0.000
Si1 Si 0.000 0.402 0.500
Au1 Au 0.000 0.181 0.500
Au2 Au 0.000 0.324 0.000
```

---

Record 3
DFT (PBE-GGA) results for crystalline BaSiAu2 at its relaxed geometry.

The structure in CIF format:
```
data_BaSiAu2
_cell_length_a 3.976
_cell_length_b 3.961
_cell_length_c 6.881
_cell_angle_alpha 90.00
_cell_angle_beta 105.94
_cell_angle_gamma 90.00
_symmetry_space_group_name_H-M 'P 1 2/m 1'
_symmetry_Int_Tables_number 10
_symmetry_space_group_name_Hall '-P 2y'
loop_
_atom_site_label
_atom_site_type_symbol
_atom_site_fract_x
_atom_site_fract_y
_atom_site_fract_z
Ba1 Ba 0.000 0.000 0.000
Si1 Si 0.500 0.000 0.500
Au1 Au 0.330 0.500 0.678
```

---

Record 4
DFT (PBE-GGA) results for crystalline BaSiAu2 at its relaxed geometry.

The structure in CIF format:
```
data_BaSiAu2
_cell_length_a 4.823
_cell_length_b 4.623
_cell_length_c 5.125
_cell_angle_alpha 90.00
_cell_angle_beta 93.44
_cell_angle_gamma 90.00
_symmetry_space_group_name_H-M 'P 1 m 1'
_symmetry_Int_Tables_number 6
_symmetry_space_group_name_Hall 'P -2y'
loop_
_atom_site_label
_atom_site_type_symbol
_atom_site_fract_x
_atom_site_fract_y
_atom_site_fract_z
Ba1 Ba 0.000 0.000 0.000
Si1 Si 0.322 0.500 0.565
Au1 Au 0.484 0.000 0.515
Au2 Au 0.828 0.500 0.455
```

---

Record 5
DFT (PBE-GGA) results for crystalline Ba2Si3Au9 at its relaxed geometry.

The structure in CIF format:
```
data_Ba2Si3Au9
_cell_length_a 13.899
_cell_length_b 8.153
_cell_length_c 11.801
_cell_angle_alpha 90.00
_cell_angle_beta 112.91
_cell_angle_gamma 90.00
_symmetry_space_group_name_H-M 'C 1 2/c 1'
_symmetry_Int_Tables_number 15
_symmetry_space_group_name_Hall '-C 2yc'
loop_
_atom_site_label
_atom_site_type_symbol
_atom_site_fract_x
_atom_site_fract_y
_atom_site_fract_z
Ba1 Ba 0.181 0.063 0.257
Si1 Si 0.089 0.243 0.483
Si2 Si 0.250 0.250 0.000
Au1 Au 0.000 0.357 0.250
Au2 Au 0.070 0.314 0.685
Au3 Au 0.079 0.056 0.948
Au4 Au 0.092 0.370 0.067
Au5 Au 0.192 0.464 0.429
```

---

Record 6
DFT (PBE-GGA) results for crystalline Ba4Si20Au3 at its relaxed geometry.

The structure in CIF format:
```
data_Ba4Si20Au3
_cell_length_a 10.506
_cell_length_b 10.506
_cell_length_c 10.506
_cell_angle_alpha 90.00
_cell_angle_beta 90.00
_cell_angle_gamma 90.00
_symmetry_space_group_name_H-M 'P m -3 n'
_symmetry_Int_Tables_number 223
_symmetry_space_group_name_Hall '-P 4n 2 3'
loop_
_atom_site_label
_atom_site_type_symbol
_atom_site_fract_x
_atom_site_fract_y
_atom_site_fract_z
Ba1 Ba 0.000 0.000 0.000
Ba2 Ba 0.000 0.250 0.500
Si1 Si 0.000 0.304 0.117
Si2 Si 0.184 0.184 0.184
Au1 Au 0.000 0.500 0.250
```

---

Record 7
DFT (PBE-GGA) results for crystalline BaSiAu3 at its relaxed geometry.

The structure in CIF format:
```
data_BaSiAu3
_cell_length_a 5.993
_cell_length_b 5.993
_cell_length_c 5.993
_cell_angle_alpha 90.00
_cell_angle_beta 90.00
_cell_angle_gamma 90.00
_symmetry_space_group_name_H-M 'P m -3 m'
_symmetry_Int_Tables_number 221
_symmetry_space_group_name_Hall '-P 4 2 3'
loop_
_atom_site_label
_atom_site_type_symbol
_atom_site_fract_x
_atom_site_fract_y
_atom_site_fract_z
Ba1 Ba 0.000 0.000 0.000
Si1 Si 0.500 0.500 0.500
Au1 Au 0.000 0.000 0.500
```

---

Record 8
DFT (PBE-GGA) results for crystalline BaSiAu3 at its relaxed geometry.

The structure in CIF format:
```
data_BaSiAu3
_cell_length_a 3.635
_cell_length_b 5.641
_cell_length_c 11.496
_cell_angle_alpha 90.00
_cell_angle_beta 90.00
_cell_angle_gamma 90.00
_symmetry_space_group_name_H-M 'A m m 2'
_symmetry_Int_Tables_number 38
_symmetry_space_group_name_Hall 'A 2 -2'
loop_
_atom_site_label
_atom_site_type_symbol
_atom_site_fract_x
_atom_site_fract_y
_atom_site_fract_z
Ba1 Ba 0.000 0.000 0.000
Si1 Si 0.500 0.000 0.355
Au1 Au 0.000 0.245 0.750
Au2 Au 0.500 0.000 0.576
```

---

Record 9
DFT (PBE-GGA) results for crystalline BaSi2Au3 at its relaxed geometry.

The structure in CIF format:
```
data_BaSi2Au3
_cell_length_a 12.547
_cell_length_b 4.773
_cell_length_c 4.877
_cell_angle_alpha 90.00
_cell_angle_beta 108.82
_cell_angle_gamma 90.00
_symmetry_space_group_name_H-M 'C 1 2/m 1'
_symmetry_Int_Tables_number 12
_symmetry_space_group_name_Hall '-C 2y'
loop_
_atom_site_label
_atom_site_type_symbol
_atom_site_fract_x
_atom_site_fract_y
_atom_site_fract_z
Ba1 Ba 0.000 0.000 0.000
Si1 Si 0.196 0.500 0.796
Au1 Au 0.000 0.500 0.500
Au2 Au 0.245 0.000 0.668
```

---

Record 10
DFT (PBE-GGA) results for crystalline Ba2SiAu2 at its relaxed geometry.

The structure in CIF format:
```
data_Ba2SiAu2
_cell_length_a 3.970
_cell_length_b 3.970
_cell_length_c 19.333
_cell_angle_alpha 90.00
_cell_angle_beta 90.00
_cell_angle_gamma 90.00
_symmetry_space_group_name_H-M 'I 4/m m m'
_symmetry_Int_Tables_number 139
_symmetry_space_group_name_Hall '-I 4 2'
loop_
_atom_site_label
_atom_site_type_symbol
_atom_site_fract_x
_atom_site_fract_y
_atom_site_fract_z
Ba1 Ba 0.000 0.000 0.104
Si1 Si 0.000 0.000 0.500
Au1 Au 0.000 0.500 0.250
```

---

Record 11
DFT (PBE-GGA) results for crystalline BaSiAu3 at its relaxed geometry.

The structure in CIF format:
```
data_BaSiAu3
_cell_length_a 6.7311
_cell_length_b 6.7311
_cell_length_c 20.3975
_cell_angle_alpha 90.00
_cell_angle_beta 90.00
_cell_angle_gamma 120.00
_symmetry_space_group_name_H-M 'R -3 m'
_symmetry_Int_Tables_number 166
_symmetry_space_group_name_Hall '-R 3 2"'
loop_
_atom_site_label
_atom_site_type_symbol
_atom_site_fract_x
_atom_site_fract_y
_atom_site_fract_z
Ba1 Ba 0.0000 0.0000 0.1144
Si1 Si 0.0000 0.0000 0.4407
Au1 Au 0.0569 0.5284 0.9306
```

---

Record 12
DFT (PBE-GGA) results for crystalline Ba2SiSnAu6 at its relaxed geometry.

The structure in CIF format:
```
data_Ba2SiSnAu6
_cell_length_a 6.856
_cell_length_b 6.857
_cell_length_c 7.484
_cell_angle_alpha 117.14
_cell_angle_beta 90.09
_cell_angle_gamma 119.98
_symmetry_space_group_name_H-M 'P -1'
_symmetry_Int_Tables_number 2
_symmetry_space_group_name_Hall '-P 1'
loop_
_atom_site_label
_atom_site_type_symbol
_atom_site_fract_x
_atom_site_fract_y
_atom_site_fract_z
Ba1 Ba 0.218 0.438 0.156
Si1 Si 0.000 0.000 0.500
Sn1 Sn 0.500 0.000 0.000
Au1 Au 0.241 0.919 0.661
Au2 Au 0.242 0.482 0.663
Au3 Au 0.321 0.081 0.338
```

---

| no. | DFT total energy (eV/atom) | formation energy (no corrections) (eV/atom) |
| --- | --- | --- |
| 1 | -3.99 | -0.5528 |
| 2 | -4.05 | -0.3545 |
| 3 | -3.71 | -0.2369 |
| 4 | -3.98 | -0.5031 |
| 5 | -3.82 | -0.2729 |
| 6 | -4.95 | -0.2839 |
| 7 | -2.34 | 1.0973 |
| 8 | -3.72 | -0.2857 |
| 9 | -4.21 | -0.4479 |
| 10 | -3.51 | -0.3430 |
| 11 | -3.89 | -0.4541 |
| 12 | -3.79 | -0.4973 |